Entry 1:
# Ca4PmHo3Te8, relaxed, DFT PBE
data_Ca4PmHo3Te8
_chemical_formula_sum 'Ca12 Pm3 Ho9 Te24'
_cell_length_a 8.7958
_cell_length_b 8.7958
_cell_length_c 22.0231
_cell_angle_alpha 90.00
_cell_angle_beta 90.00
_cell_angle_gamma 120.00
_symmetry_space_group_name_H-M 'R -3 m'
_symmetry_Int_Tables_number 166
_symmetry_space_group_name_Hall '-R 3 2"'
loop_
_atom_site_label
_atom_site_fract_x
_atom_site_fract_y
_atom_site_fract_z
_atom_site_occupancy
Ca1 0.0000 0.0000 0.0000 1
Ca2 0.0000 0.5000 0.0000 1
Pm1 0.0000 0.0000 0.5000 1
Ho1 0.0000 0.5000 0.5000 1
Te1 0.0000 0.0000 0.2477 1
Te2 0.0052 0.5026 0.7511 1
# Total DFT energy (no corrections), eV per atom: -4.68
# Total moment, μB/f.u.: 0.0

Entry 2:
# Ca3Pm3HoTe8, relaxed, DFT PBE
data_Ca3Pm3HoTe8
_chemical_formula_sum 'Ca9 Pm9 Ho3 Te24'
_cell_length_a 8.8772
_cell_length_b 8.8772
_cell_length_c 22.1913
_cell_angle_alpha 90.00
_cell_angle_beta 90.00
_cell_angle_gamma 120.00
_symmetry_space_group_name_H-M 'R -3 m'
_symmetry_Int_Tables_number 166
_symmetry_space_group_name_Hall '-R 3 2"'
loop_
_atom_site_label
_atom_site_fract_x
_atom_site_fract_y
_atom_site_fract_z
_atom_site_occupancy
Ca1 0.0000 0.5000 0.0000 1
Pm1 0.0000 0.5000 0.5000 1
Ho1 0.0000 0.0000 0.5000 1
Te1 0.0000 0.0000 0.2508 1
Te2 0.0042 0.5021 0.2489 1
# Total DFT energy (no corrections), eV per atom: -4.84
# Total moment, μB/f.u.: 0.0

Entry 3:
# CaPmHoTh, relaxed, DFT PBE
data_CaPmHoTh
_chemical_formula_sum 'Ca4 Pm4 Ho4 Th4'
_cell_length_a 8.163
_cell_length_b 8.163
_cell_length_c 8.163
_cell_angle_alpha 90.00
_cell_angle_beta 90.00
_cell_angle_gamma 90.00
_symmetry_space_group_name_H-M 'F -4 3 m'
_symmetry_Int_Tables_number 216
_symmetry_space_group_name_Hall 'F -4 2 3'
loop_
_atom_site_label
_atom_site_fract_x
_atom_site_fract_y
_atom_site_fract_z
_atom_site_occupancy
Ca1 0.000 0.000 0.000 1
Pm1 0.250 0.250 0.750 1
Ho1 0.250 0.250 0.250 1
Th1 0.000 0.000 0.500 1
# Total DFT energy (no corrections), eV per atom: -4.46
# DFT formation energy, eV/atom: 0.23
# Total moment, μB/f.u.: 0.5

Copy entry 2 word for word.
# Ca3Pm3HoTe8, relaxed, DFT PBE
data_Ca3Pm3HoTe8
_chemical_formula_sum 'Ca9 Pm9 Ho3 Te24'
_cell_length_a 8.8772
_cell_length_b 8.8772
_cell_length_c 22.1913
_cell_angle_alpha 90.00
_cell_angle_beta 90.00
_cell_angle_gamma 120.00
_symmetry_space_group_name_H-M 'R -3 m'
_symmetry_Int_Tables_number 166
_symmetry_space_group_name_Hall '-R 3 2"'
loop_
_atom_site_label
_atom_site_fract_x
_atom_site_fract_y
_atom_site_fract_z
_atom_site_occupancy
Ca1 0.0000 0.5000 0.0000 1
Pm1 0.0000 0.5000 0.5000 1
Ho1 0.0000 0.0000 0.5000 1
Te1 0.0000 0.0000 0.2508 1
Te2 0.0042 0.5021 0.2489 1
# Total DFT energy (no corrections), eV per atom: -4.84
# Total moment, μB/f.u.: 0.0

Question: Look up the total moment of the second one.
Answer: 0.0 μB/f.u.